No. 1
AlIn2Sb: optimized geometry, PBE.

Properties
Uncorrected energy in eV per cell: -12.724
Energy above the lowest structure with this stoichiometry in meV per atom: 82.5
E_form (uncorrected) in eV per atom: 0.15
Space group: No. 65

a b c (Å): 3.1957 3.1957 9.9461
angles (deg): 90.00 90.00 99.45
Fractional coordinates of all 4 atoms:
Al: 0.0000 0.0000 0.0000
In: 0.5000 0.5000 0.2316
In: 0.5000 0.5000 0.7684
Sb: 0.0000 0.0000 0.5000

No. 2
Ba2SnHg3Bi4: optimized geometry, PBE.

Properties
Uncorrected energy in eV per cell: -27.758
Space group: No. 115
DFT formation energy in meV per atom: -348

a b c (Å): 4.9113 4.9113 14.4659
angles (deg): 90.00 90.00 90.00
Fractional coordinates of all 10 atoms:
Ba: 0.0000 0.5000 0.2352
Ba: 0.5000 0.0000 0.7648
Sn: 0.0000 0.0000 0.5000
Hg: 0.0000 0.5000 0.8576
Hg: 0.5000 0.0000 0.1424
Hg: 0.5000 0.5000 0.5000
Bi: 0.0000 0.0000 0.0000
Bi: 0.0000 0.5000 0.6495
Bi: 0.5000 0.0000 0.3505
Bi: 0.5000 0.5000 0.0000

No. 3
PmCdSnIr: optimized geometry, PBE.

Properties
Uncorrected energy in eV per cell: -19.715
Space group: No. 216
DFT formation energy in meV per atom: -296

a b c (Å): 4.9630 4.9630 4.9630
angles (deg): 60.00 60.00 60.00
Fractional coordinates of all 4 atoms:
Pm: 0.0000 0.0000 0.0000
Cd: 0.7500 0.7500 0.7500
Sn: 0.5000 0.5000 0.5000
Ir: 0.2500 0.2500 0.2500

No. 4
Sn3Sb5Pb12: optimized geometry, PBE.

Properties
Uncorrected energy in eV per cell: -296.234
E_form (uncorrected) in eV per atom: 0.15
Space group: No. 230

a b c (Å): 15.8940 15.8940 15.8940
angles (deg): 109.47 109.47 109.47
Fractional coordinates of all 80 atoms:
Sn: 0.1250 0.2500 0.3750
Sn: 0.1250 0.3750 0.7500
Sn: 0.2500 0.3750 0.1250
Sn: 0.2500 0.8750 0.6250
Sn: 0.3750 0.1250 0.2500
Sn: 0.3750 0.7500 0.1250
Sn: 0.6250 0.2500 0.8750
Sn: 0.6250 0.8750 0.7500
Sn: 0.7500 0.1250 0.3750
Sn: 0.7500 0.6250 0.8750
Sn: 0.8750 0.6250 0.2500
Sn: 0.8750 0.7500 0.6250
Sb: 0.0000 0.0000 0.0000
Sb: 0.0000 0.0000 0.5000
Sb: 0.0000 0.5000 0.0000
Sb: 0.0000 0.5000 0.5000
Sb: 0.1250 0.7500 0.8750
Sb: 0.1250 0.8750 0.2500
Sb: 0.2500 0.1250 0.8750
Sb: 0.2500 0.6250 0.3750
Sb: 0.3750 0.2500 0.6250
Sb: 0.3750 0.6250 0.7500
Sb: 0.5000 0.0000 0.0000
Sb: 0.5000 0.0000 0.5000
Sb: 0.5000 0.5000 0.0000
Sb: 0.5000 0.5000 0.5000
Sb: 0.6250 0.3750 0.2500
Sb: 0.6250 0.7500 0.3750
Sb: 0.7500 0.3750 0.6250
Sb: 0.7500 0.8750 0.1250
Sb: 0.8750 0.1250 0.7500
Sb: 0.8750 0.2500 0.1250
Pb: 0.0607 0.2250 0.1471
Pb: 0.0607 0.3356 0.9135
Pb: 0.0779 0.7250 0.6644
Pb: 0.0779 0.8529 0.4135
Pb: 0.0865 0.6471 0.4221
Pb: 0.0865 0.9393 0.6644
Pb: 0.1471 0.0607 0.2250
Pb: 0.1471 0.5865 0.9221
Pb: 0.1644 0.2250 0.5779
Pb: 0.1644 0.4393 0.5865
Pb: 0.2250 0.1471 0.0607
Pb: 0.2250 0.5779 0.1644
Pb: 0.2750 0.3356 0.9221
Pb: 0.2750 0.4393 0.3529
Pb: 0.3356 0.9135 0.0607
Pb: 0.3356 0.9221 0.2750
Pb: 0.3529 0.2750 0.4393
Pb: 0.3529 0.5779 0.9135
Pb: 0.4135 0.0779 0.8529
Pb: 0.4135 0.8356 0.5607
Pb: 0.4221 0.0865 0.6471
Pb: 0.4221 0.8356 0.7750
Pb: 0.4393 0.3529 0.2750
Pb: 0.4393 0.5865 0.1644
Pb: 0.5607 0.4135 0.8356
Pb: 0.5607 0.6471 0.7250
Pb: 0.5779 0.1644 0.2250
Pb: 0.5779 0.9135 0.3529
Pb: 0.5865 0.1644 0.4393
Pb: 0.5865 0.9221 0.1471
Pb: 0.6471 0.4221 0.0865
Pb: 0.6471 0.7250 0.5607
Pb: 0.6644 0.0779 0.7250
Pb: 0.6644 0.0865 0.9393
Pb: 0.7250 0.5607 0.6471
Pb: 0.7250 0.6644 0.0779
Pb: 0.7750 0.4221 0.8356
Pb: 0.7750 0.8529 0.9393
Pb: 0.8356 0.5607 0.4135
Pb: 0.8356 0.7750 0.4221
Pb: 0.8529 0.4135 0.0779
Pb: 0.8529 0.9393 0.7750
Pb: 0.9135 0.0607 0.3356
Pb: 0.9135 0.3529 0.5779
Pb: 0.9221 0.1471 0.5865
Pb: 0.9221 0.2750 0.3356
Pb: 0.9393 0.6644 0.0865
Pb: 0.9393 0.7750 0.8529

No. 5
Ce4Ga12Si: optimized geometry, PBE.

Properties
Uncorrected energy in eV per cell: -73.253
E_form (uncorrected) in eV per atom: -0.46
Space group: No. 229

a b c (Å): 7.6289 7.6289 7.6289
angles (deg): 109.47 109.47 109.47
Fractional coordinates of all 17 atoms:
Ce: 0.0000 0.0000 0.5000
Ce: 0.0000 0.5000 0.0000
Ce: 0.5000 0.0000 0.0000
Ce: 0.5000 0.5000 0.5000
Ga: 0.0000 0.3030 0.3030
Ga: 0.0000 0.6970 0.6970
Ga: 0.2500 0.5000 0.7500
Ga: 0.2500 0.7500 0.5000
Ga: 0.3030 0.0000 0.3030
Ga: 0.3030 0.3030 0.0000
Ga: 0.5000 0.2500 0.7500
Ga: 0.5000 0.7500 0.2500
Ga: 0.6970 0.0000 0.6970
Ga: 0.6970 0.6970 0.0000
Ga: 0.7500 0.2500 0.5000
Ga: 0.7500 0.5000 0.2500
Si: 0.0000 0.0000 0.0000

No. 6
Li3ErRh2: optimized geometry, PBE.

Properties
Uncorrected energy in eV per cell: -54.128
Space group: No. 12
DFT formation energy in meV per atom: -343

a b c (Å): 6.8655 6.8655 8.2195
angles (deg): 116.69 116.69 34.99
Fractional coordinates of all 12 atoms:
Li: 0.0572 0.0572 0.3823
Li: 0.2748 0.2748 0.4441
Li: 0.4207 0.4207 0.3162
Li: 0.5793 0.5793 0.6838
Li: 0.7252 0.7252 0.5559
Li: 0.9428 0.9428 0.6177
Er: 0.1410 0.1410 0.0191
Er: 0.8590 0.8590 0.9809
Rh: 0.2098 0.2098 0.7426
Rh: 0.4305 0.4305 0.8195
Rh: 0.5695 0.5695 0.1805
Rh: 0.7902 0.7902 0.2574

No. 7
Nd6CuNi2Cl3: optimized geometry, PBE.

Properties
Uncorrected energy in eV per cell: -59.960
E_form (uncorrected) in eV per atom: -0.85
Space group: No. 12

a b c (Å): 9.6101 9.6101 8.7329
angles (deg): 108.46 108.46 24.35
Fractional coordinates of all 12 atoms:
Nd: 0.0092 0.0092 0.2420
Nd: 0.3218 0.3218 0.4429
Nd: 0.3395 0.3395 0.8959
Nd: 0.6605 0.6605 0.1041
Nd: 0.6782 0.6782 0.5571
Nd: 0.9908 0.9908 0.7580
Cu: 0.5000 0.5000 0.0000
Ni: 0.1645 0.1645 0.3276
Ni: 0.8355 0.8355 0.6724
Cl: 0.1660 0.1660 0.8317
Cl: 0.5000 0.5000 0.5000
Cl: 0.8340 0.8340 0.1683

No. 8
Sn3TeSe: optimized geometry, PBE.

Properties
Uncorrected energy in eV per cell: -17.184
Energy above the lowest structure with this stoichiometry in meV per atom: 393.0
E_form (uncorrected) in eV per atom: 0.29
Space group: No. 221

a b c (Å): 5.5808 5.5808 5.5808
angles (deg): 90.00 90.00 90.00
Fractional coordinates of all 5 atoms:
Sn: 0.0000 0.0000 0.5000
Sn: 0.0000 0.5000 0.0000
Sn: 0.5000 0.0000 0.0000
Te: 0.5000 0.5000 0.5000
Se: 0.0000 0.0000 0.0000

No. 9
BaYAgPb: optimized geometry, PBE.

Properties
Uncorrected energy in eV per cell: -16.227
Space group: No. 216
DFT formation energy in meV per atom: -320

a b c (Å): 5.6326 5.6326 5.6326
angles (deg): 60.00 60.00 60.00
Fractional coordinates of all 4 atoms:
Ba: 0.0000 0.0000 0.0000
Y: 0.5000 0.5000 0.5000
Ag: 0.2500 0.2500 0.2500
Pb: 0.7500 0.7500 0.7500

No. 10
K2CdPdBr6: optimized geometry, PBE.

Properties
Uncorrected energy in eV per cell: -56.049
E_form (uncorrected) in eV per atom: -0.97
Space group: No. 166

a b c (Å): 13.9000 13.9000 13.9000
angles (deg): 31.50 31.50 31.50
Fractional coordinates of all 20 atoms:
K: 0.1168 0.1168 0.1168
K: 0.3037 0.3037 0.3037
K: 0.6963 0.6963 0.6963
K: 0.8832 0.8832 0.8832
Cd: 0.4163 0.4163 0.4163
Cd: 0.5837 0.5837 0.5837
Pd: 0.0000 0.0000 0.0000
Pd: 0.5000 0.5000 0.5000
Br: 0.1285 0.6255 0.6255
Br: 0.2034 0.2034 0.7104
Br: 0.2034 0.7104 0.2034
Br: 0.2896 0.7966 0.7966
Br: 0.3745 0.3745 0.8715
Br: 0.3745 0.8715 0.3745
Br: 0.6255 0.1285 0.6255
Br: 0.6255 0.6255 0.1285
Br: 0.7104 0.2034 0.2034
Br: 0.7966 0.2896 0.7966
Br: 0.7966 0.7966 0.2896
Br: 0.8715 0.3745 0.3745

No. 11
P2S: optimized geometry, PBE.

Properties
Uncorrected energy in eV per cell: -29.646
Energy above the lowest structure with this stoichiometry in meV per atom: 16.2
E_form (uncorrected) in eV per atom: 0.04
Space group: No. 1

a b c (Å): 5.1078 5.5921 6.6865
angles (deg): 111.39 94.58 111.78
Fractional coordinates of all 6 atoms:
P: 0.0000 0.0000 0.0000
P: 0.1066 0.1977 0.3689
P: 0.3794 0.6187 0.1205
P: 0.6583 0.0695 0.1810
S: 0.3108 0.6476 0.4386
S: 0.9910 0.5877 0.9381

No. 12
NaLiMnS3: optimized geometry, PBE.

Properties
Uncorrected energy in eV per cell: -59.563
E_form (uncorrected) in eV per atom: -0.83
Space group: No. 11

a b c (Å): 7.1396 3.5808 8.9628
angles (deg): 90.00 108.55 90.00
Fractional coordinates of all 12 atoms:
Na: 0.2068 0.2500 0.1780
Na: 0.7932 0.7500 0.8220
Li: 0.4247 0.2500 0.8978
Li: 0.5753 0.7500 0.1022
Mn: 0.1802 0.7500 0.6515
Mn: 0.8198 0.2500 0.3485
S: 0.0529 0.7500 0.3752
S: 0.2342 0.7500 0.9272
S: 0.3920 0.2500 0.6356
S: 0.6080 0.7500 0.3644
S: 0.7658 0.2500 0.0728
S: 0.9471 0.2500 0.6248

No. 13
K2YRu: optimized geometry, PBE.

Properties
Uncorrected energy in eV per cell: -15.615
Energy above the lowest structure with this stoichiometry in meV per atom: 263.9
Space group: No. 44
DFT formation energy in meV per atom: 580

a b c (Å): 7.5993 7.5993 7.5993
angles (deg): 153.04 129.27 58.37
Fractional coordinates of all 4 atoms:
K: 0.0000 0.0000 0.0000
K: 0.6839 0.1839 0.5000
Y: 0.3529 0.3529 0.0000
Ru: 0.2174 0.7174 0.5000

No. 14
Nb8Ir2Rh3: optimized geometry, PBE.

Properties
Uncorrected energy in eV per cell: -120.810
Space group: No. 12
DFT formation energy in meV per atom: -37

a b c (Å): 7.5729 7.5729 5.1100
angles (deg): 107.13 107.13 59.06
Fractional coordinates of all 13 atoms:
Nb: 0.0807 0.0807 0.3750
Nb: 0.0872 0.6653 0.0219
Nb: 0.3155 0.3155 0.4021
Nb: 0.3347 0.9128 0.9781
Nb: 0.6653 0.0872 0.0219
Nb: 0.6845 0.6845 0.5979
Nb: 0.9128 0.3347 0.9781
Nb: 0.9193 0.9193 0.6250
Ir: 0.2586 0.2586 0.8274
Ir: 0.7414 0.7414 0.1726
Rh: 0.3186 0.6814 0.5000
Rh: 0.5000 0.5000 0.0000
Rh: 0.6814 0.3186 0.5000

No. 15
Tm4Pb: optimized geometry, PBE.

Properties
Uncorrected energy in eV per cell: -22.174
Energy above the lowest structure with this stoichiometry in meV per atom: 47.9
Space group: No. 65
DFT formation energy in meV per atom: -116

a b c (Å): 8.5047 8.5047 3.5088
angles (deg): 90.00 90.00 144.46
Fractional coordinates of all 5 atoms:
Tm: 0.1117 0.8883 0.0000
Tm: 0.3007 0.6993 0.5000
Tm: 0.6993 0.3007 0.5000
Tm: 0.8883 0.1117 0.0000
Pb: 0.5000 0.5000 0.5000

No. 16
Pu2MnZn: optimized geometry, PBE.

Properties
Uncorrected energy in eV per cell: -39.078
Energy above the lowest structure with this stoichiometry in meV per atom: 0.0
Space group: No. 123
DFT formation energy in meV per atom: 7

a b c (Å): 3.0935 3.0935 8.3202
angles (deg): 90.00 90.00 90.00
Fractional coordinates of all 4 atoms:
Pu: 0.0000 0.0000 0.2264
Pu: 0.0000 0.0000 0.7736
Mn: 0.5000 0.5000 0.0000
Zn: 0.5000 0.5000 0.5000

No. 17
SnHgC2: optimized geometry, PBE.

Properties
Uncorrected energy in eV per cell: -13.191
Energy above the lowest structure with this stoichiometry in meV per atom: 801.8
Space group: No. 225
DFT formation energy in meV per atom: 2390

a b c (Å): 4.3928 4.3928 4.3928
angles (deg): 60.00 60.00 60.00
Fractional coordinates of all 4 atoms:
Sn: 0.0000 0.0000 0.0000
Hg: 0.5000 0.5000 0.5000
C: 0.2500 0.2500 0.2500
C: 0.7500 0.7500 0.7500

No. 18
Sm2V2N5: optimized geometry, PBE.

Properties
Uncorrected energy in eV per cell: -160.158
E_form (uncorrected) in eV per atom: -1.20
Space group: No. 46

a b c (Å): 8.5387 8.5387 8.5387
angles (deg): 54.56 141.27 143.11
Fractional coordinates of all 18 atoms:
Sm: 0.0219 0.1078 0.1298
Sm: 0.0219 0.3922 0.4141
Sm: 0.9781 0.6078 0.5859
Sm: 0.9781 0.8922 0.8702
V: 0.3705 0.6987 0.1718
V: 0.5031 0.0031 0.5000
V: 0.5031 0.5031 0.0000
V: 0.5269 0.1987 0.8282
N: 0.2410 0.8586 0.8824
N: 0.4472 0.1509 0.5864
N: 0.4472 0.3609 0.7964
N: 0.4934 0.2362 0.2395
N: 0.4934 0.7538 0.7572
N: 0.5645 0.6509 0.2036
N: 0.5645 0.8609 0.4136
N: 0.9762 0.3586 0.1176
N: 0.9966 0.2538 0.7605
N: 0.9966 0.7362 0.2428

No. 19
Er12TmC7: optimized geometry, PBE.

Properties
Uncorrected energy in eV per cell: -129.551
Space group: No. 148
DFT formation energy in meV per atom: -288

a b c (Å): 8.0190 8.0190 8.0190
angles (deg): 107.67 107.67 107.67
Fractional coordinates of all 20 atoms:
Er: 0.0574 0.3411 0.1262
Er: 0.1262 0.0574 0.3411
Er: 0.1913 0.7140 0.5703
Er: 0.2860 0.4297 0.8087
Er: 0.3411 0.1262 0.0574
Er: 0.4297 0.8087 0.2860
Er: 0.5703 0.1913 0.7140
Er: 0.6589 0.8738 0.9426
Er: 0.7140 0.5703 0.1913
Er: 0.8087 0.2860 0.4297
Er: 0.8738 0.9426 0.6589
Er: 0.9426 0.6589 0.8738
Tm: 0.5000 0.5000 0.5000
C: 0.0000 0.0000 0.0000
C: 0.1468 0.3845 0.4595
C: 0.3845 0.4595 0.1468
C: 0.4595 0.1468 0.3845
C: 0.5405 0.8532 0.6155
C: 0.6155 0.5405 0.8532
C: 0.8532 0.6155 0.5405